Entry 1:
Density functional theory data (PBE) for an optimized crystal structure of SrHoPuO6.

The uncorrected formation energy comes out at -2.881 eV/atom.

Lattice parameters (Å, degrees): 5.782 5.782 10.251 90.00 90.00 120.00
Positions (direct):
Sr (0.000, 0.000, 0.000)
Sr (0.000, 0.000, 0.500)
Ho (0.333, 0.667, 0.250)
Ho (0.667, 0.333, 0.750)
Pu (0.333, 0.667, 0.750)
Pu (0.667, 0.333, 0.250)
O (0.031, 0.382, 0.644)
O (0.031, 0.649, 0.856)
O (0.351, 0.382, 0.856)
O (0.351, 0.969, 0.644)
O (0.382, 0.031, 0.144)
O (0.382, 0.351, 0.356)
O (0.618, 0.649, 0.644)
O (0.618, 0.969, 0.856)
O (0.649, 0.031, 0.356)
O (0.649, 0.618, 0.144)
O (0.969, 0.351, 0.144)
O (0.969, 0.618, 0.356)

---

Entry 2:
Density functional theory data (PBE) for an optimized crystal structure of Tm12TlAu6.

The density of states at the Fermi level is 19.48 states/eV per cell. The calculation puts the relative energy among the computed polymorphs at 160.6 meV per atom. For the formation energy from the elements, the calculation gives -7.57 eV per formula unit.

Lattice parameters (Å, degrees): 8.477 8.477 8.477 101.69 101.69 101.69
Positions (direct):
Tm (0.062, 0.918, 0.329)
Tm (0.082, 0.671, 0.938)
Tm (0.177, 0.427, 0.570)
Tm (0.329, 0.062, 0.918)
Tm (0.427, 0.570, 0.177)
Tm (0.430, 0.823, 0.573)
Tm (0.570, 0.177, 0.427)
Tm (0.573, 0.430, 0.823)
Tm (0.671, 0.938, 0.082)
Tm (0.823, 0.573, 0.430)
Tm (0.918, 0.329, 0.062)
Tm (0.938, 0.082, 0.671)
Tl (0.000, 0.000, 0.000)
Au (0.139, 0.608, 0.306)
Au (0.306, 0.139, 0.608)
Au (0.392, 0.694, 0.861)
Au (0.608, 0.306, 0.139)
Au (0.694, 0.861, 0.392)
Au (0.861, 0.392, 0.694)

---

Entry 3:
Density functional theory data (PBE) for an optimized crystal structure of TaNiSb2.

The density of states at the Fermi level is 2.04 states/eV per cell. The calculation puts the relative energy among the computed polymorphs at 88.4 meV per atom. The uncorrected formation energy comes out at 0.018 eV/atom.

Lattice parameters (Å, degrees): 3.031 3.797 7.495 90.00 90.00 90.00
Positions (direct):
Ta (0.000, 0.000, 0.000)
Ni (0.500, 0.500, 0.165)
Sb (0.000, 0.000, 0.369)
Sb (0.500, 0.500, 0.780)

---

Entry 4:
Density functional theory data (PBE) for an optimized crystal structure of LaP2Pt5.

The density of states at the Fermi level is 5.36 states/eV per cell. For the formation energy from the elements, the calculation gives -6.05 eV per formula unit.

Lattice parameters (Å, degrees): 6.264 6.264 6.264 140.77 112.54 80.91
Positions (direct):
La (0.000, 0.000, 0.000)
P (0.254, 0.754, 0.500)
P (0.746, 0.246, 0.500)
Pt (0.145, 0.350, 0.794)
Pt (0.444, 0.650, 0.794)
Pt (0.500, 0.000, 0.500)
Pt (0.556, 0.350, 0.206)
Pt (0.855, 0.650, 0.206)

---

Entry 5:
Density functional theory data (PBE) for an optimized crystal structure of TiCo2Si.

The density of states at the Fermi level is 8.61 states/eV per cell. The uncorrected formation energy comes out at -0.292 eV/atom.

Lattice parameters (Å, degrees): 4.835 4.835 5.536 101.72 101.72 55.39
Positions (direct):
Ti (0.000, 0.000, 0.000)
Ti (0.733, 0.733, 0.607)
Co (0.206, 0.718, 0.387)
Co (0.207, 0.207, 0.392)
Co (0.689, 0.689, 0.095)
Co (0.718, 0.206, 0.387)
Si (0.308, 0.308, 0.048)
Si (0.453, 0.453, 0.740)

---

Entry 6:
Density functional theory data (PBE) for an optimized crystal structure of LiCdIn4.

The density of states at the Fermi level is 2.38 states/eV per cell. The calculation puts the relative energy among the computed polymorphs at 117.1 meV per atom. For the formation energy from the elements, the calculation gives 0.44 eV per formula unit.

Lattice parameters (Å, degrees): 6.149 6.149 6.149 60.00 60.00 60.00
Positions (direct):
Li (0.000, 0.000, 0.000)
Cd (0.750, 0.750, 0.750)
In (0.375, 0.375, 0.375)
In (0.375, 0.375, 0.876)
In (0.375, 0.876, 0.375)
In (0.876, 0.375, 0.375)

---

Entry 7:
Density functional theory data (PBE) for an optimized crystal structure of CaZnSnPd3.

The density of states at the Fermi level is 5.30 states/eV per cell. For the formation energy from the elements, the calculation gives -2.86 eV per formula unit.

Lattice parameters (Å, degrees): 6.921 6.921 6.424 90.00 90.00 128.06
Positions (direct):
Ca (0.182, 0.818, 0.750)
Ca (0.818, 0.182, 0.250)
Zn (0.421, 0.579, 0.750)
Zn (0.579, 0.421, 0.250)
Sn (0.140, 0.860, 0.250)
Sn (0.860, 0.140, 0.750)
Pd (0.230, 0.230, 0.000)
Pd (0.230, 0.230, 0.500)
Pd (0.352, 0.648, 0.250)
Pd (0.648, 0.352, 0.750)
Pd (0.770, 0.770, 0.000)
Pd (0.770, 0.770, 0.500)